1.
Density functional theory data (PBEsol) for a relaxed CoNiW crystal.

Calculated values
Distance to the lowest polymorph of the same formula, kcal/mol of atoms: 3.232
Energy of formation, kcal/mol of atoms: 1.98
Symmetry: No. 156
Magnetization, μB per formula unit: 0.00

abc: 2.537 4.051 4.051
angles: 120.00 90.00 90.00
Fractional positions:
Ni (0.687, 0.333, 0.667)
Co (0.002, 0.000, 0.000)
W (0.311, 0.667, 0.333)

2.
Density functional theory data (PBEsol) for a relaxed CoNi2W crystal.

Calculated values
Distance to the lowest polymorph of the same formula, kcal/mol of atoms: 6.111
Energy of formation, kcal/mol of atoms: 3.56
Symmetry: No. 225
Magnetization, μB per formula unit: 0.01

abc: 4.029 4.029 4.029
angles: 60.00 60.00 60.00
Fractional positions:
Co (0.000, 0.000, 0.000)
Ni (0.250, 0.250, 0.250)
Ni (0.750, 0.750, 0.750)
W (0.500, 0.500, 0.500)

3.
Density functional theory data (PBEsol) for a relaxed CoNiW crystal.

Calculated values
Distance to the lowest polymorph of the same formula, kcal/mol of atoms: 0.000
Energy of formation, kcal/mol of atoms: -1.25
Symmetry: No. 44
Magnetization, μB per formula unit: 0.00

abc: 2.626 3.543 4.426
angles: 113.59 107.26 90.00
Fractional positions:
Ni (0.663, 0.663, 0.326)
Co (0.002, 0.002, 0.005)
W (0.334, 0.334, 0.669)

4.
Density functional theory data (PBEsol) for a relaxed CoNi2W crystal.

Calculated values
Distance to the lowest polymorph of the same formula, kcal/mol of atoms: 0.272
Energy of formation, kcal/mol of atoms: -2.28
Symmetry: No. 139
Magnetization, μB per formula unit: 0.00

abc: 3.498 3.498 4.469
angles: 113.04 113.04 90.00
Fractional positions:
Ni (0.750, 0.250, 0.500)
Ni (0.250, 0.750, 0.500)
Co (0.500, 0.500, 0.000)
W (0.000, 0.000, 0.000)

5.
Density functional theory data (PBEsol) for a relaxed YCoNi crystal.

Calculated values
Distance to the lowest polymorph of the same formula, kcal/mol of atoms: 1.658
Energy of formation, kcal/mol of atoms: -5.36
Symmetry: No. 187
Magnetization, μB per formula unit: 0.19

abc: 3.787 3.864 3.864
angles: 120.00 90.00 90.00
Fractional positions:
Y (0.500, 0.333, 0.667)
Ni (0.000, 0.667, 0.333)
Co (0.000, 0.000, 0.000)

6.
Density functional theory data (PBEsol) for a relaxed YCoNi2 crystal.

Calculated values
Distance to the lowest polymorph of the same formula, kcal/mol of atoms: 0.560
Energy of formation, kcal/mol of atoms: 0.60
Symmetry: No. 119
Magnetization, μB per formula unit: 1.78

abc: 3.825 3.825 4.637
angles: 114.36 114.36 90.00
Fractional positions:
Co (0.250, 0.750, 0.500)
Ni (0.000, 0.000, 0.000)
Ni (0.750, 0.250, 0.500)
Y (0.500, 0.500, 0.000)

7.
Density functional theory data (PBEsol) for a relaxed YCoNi2 crystal.

Calculated values
Distance to the lowest polymorph of the same formula, kcal/mol of atoms: 0.000
Energy of formation, kcal/mol of atoms: 0.04
Symmetry: No. 139
Magnetization, μB per formula unit: 1.77

abc: 3.832 3.832 4.633
angles: 114.43 114.43 90.00
Fractional positions:
Co (0.500, 0.500, 0.000)
Ni (0.750, 0.250, 0.500)
Ni (0.250, 0.750, 0.500)
Y (0.000, 0.000, 0.000)

8.
Density functional theory data (PBEsol) for a relaxed YCo3Ni2 crystal.

Calculated values
Energy of formation, kcal/mol of atoms: -4.18
Symmetry: No. 191
Magnetization, μB per formula unit: 4.71

abc: 3.957 4.778 4.778
angles: 120.00 90.00 90.00
Fractional positions:
Y (0.000, 0.000, 0.000)
Ni (0.000, 0.667, 0.333)
Ni (0.000, 0.333, 0.667)
Co (0.500, 0.000, 0.500)
Co (0.500, 0.500, 0.000)
Co (0.500, 0.500, 0.500)

9.
Density functional theory data (PBEsol) for a relaxed YCoNi crystal.

Calculated values
Distance to the lowest polymorph of the same formula, kcal/mol of atoms: 0.000
Energy of formation, kcal/mol of atoms: -7.02
Symmetry: No. 74
Magnetization, μB per formula unit: 0.84

abc: 4.880 5.005 5.002
angles: 119.98 90.00 119.18
Fractional positions:
Y (0.123, 0.245, 0.373)
Y (0.877, 0.755, 0.627)
Ni (0.500, 0.000, 0.500)
Ni (0.500, 0.000, 0.000)
Co (0.000, 0.500, 0.000)
Co (0.500, 0.500, 0.000)

10.
Density functional theory data (PBEsol) for a relaxed ZnCoNi crystal.

Calculated values
Distance to the lowest polymorph of the same formula, kcal/mol of atoms: 0.000
Energy of formation, kcal/mol of atoms: -1.56
Symmetry: No. 107
Magnetization, μB per formula unit: 1.71

abc: 2.521 2.521 5.551
angles: 103.13 103.13 90.00
Fractional positions:
Ni (0.340, 0.340, 0.679)
Zn (0.667, 0.667, 0.335)
Co (0.993, 0.993, 0.986)

11.
Density functional theory data (PBEsol) for a relaxed Zn2CoNi crystal.

Calculated values
Energy of formation, kcal/mol of atoms: -0.19
Symmetry: No. 216
Magnetization, μB per formula unit: 1.23

abc: 4.032 4.032 4.032
angles: 60.00 60.00 60.00
Fractional positions:
Co (0.500, 0.500, 0.500)
Ni (0.250, 0.250, 0.250)
Zn (0.000, 0.000, 0.000)
Zn (0.750, 0.750, 0.750)

12.
Density functional theory data (PBEsol) for a relaxed ZnCoNi2 crystal.

Calculated values
Energy of formation, kcal/mol of atoms: -1.41
Symmetry: No. 8
Magnetization, μB per formula unit: 2.17

abc: 2.492 4.306 4.310
angles: 99.59 90.00 106.82
Fractional positions:
Ni (0.999, 0.998, 0.989)
Ni (0.748, 0.495, 0.252)
Zn (0.500, 0.999, 0.491)
Co (0.254, 0.508, 0.768)

13.
Density functional theory data (PBEsol) for a relaxed ZnCoNi crystal.

Calculated values
Distance to the lowest polymorph of the same formula, kcal/mol of atoms: 1.245
Energy of formation, kcal/mol of atoms: -0.32
Symmetry: No. 156
Magnetization, μB per formula unit: 1.68

abc: 2.522 2.522 6.078
angles: 90.00 90.00 120.00
Fractional positions:
Ni (0.333, 0.667, 0.675)
Zn (0.667, 0.333, 0.335)
Co (0.000, 0.000, 0.991)

14.
Density functional theory data (PBEsol) for a relaxed ZnCoNi2 crystal.

Calculated values
Energy of formation, kcal/mol of atoms: -1.24
Symmetry: No. 99
Magnetization, μB per formula unit: 2.22

abc: 2.510 2.510 6.940
angles: 90.00 90.00 90.00
Fractional positions:
Ni (0.000, 0.000, 0.997)
Ni (0.500, 0.500, 0.242)
Zn (0.000, 0.000, 0.498)
Co (0.500, 0.500, 0.763)

15.
Density functional theory data (PBEsol) for a relaxed ZnCoNi2 crystal.

Calculated values
Energy of formation, kcal/mol of atoms: -1.37
Symmetry: No. 25
Magnetization, μB per formula unit: 2.20

abc: 2.497 4.066 4.297
angles: 90.00 90.00 90.00
Fractional positions:
Ni (0.000, 0.000, 0.048)
Ni (0.000, 0.500, 0.707)
Zn (0.500, 0.000, 0.548)
Co (0.500, 0.500, 0.197)

16.
Density functional theory data (PBEsol) for a relaxed Zn2CoNi crystal.

Calculated values
Energy of formation, kcal/mol of atoms: -3.27
Symmetry: No. 123
Magnetization, μB per formula unit: 0.01

abc: 2.877 3.975 3.975
angles: 90.00 90.00 90.00
Fractional positions:
Ni (0.000, 0.000, 0.000)
Zn (0.500, 0.500, 0.000)
Zn (0.500, 0.000, 0.500)
Co (0.000, 0.500, 0.500)